(1)
Cs3LaTe2O8 | PBE | relaxed

Properties
The value obtained for the total magnetization is 1.82 μB per cell.

abc: 6.6569 6.6569 8.7093
angles: 90.00 90.00 120.00
Space group P-3m1 (No. 164)
One atom of each set of equivalent atoms:
Cs: 0.0000 0.0000 0.0000 [1 per cell]
Cs: 0.3333 0.6667 0.7613 [2 per cell]
La: 0.0000 0.0000 0.5000 [1 per cell]
Te: 0.3333 0.6667 0.2942 [2 per cell]
O: 0.1647 0.3294 0.3282 [6 per cell]
O: 0.3333 0.6667 0.0817 [2 per cell]


(2)
VGaHg3 | PBE | relaxed

Properties
The value obtained for the formation energy from the elements is 0.59 eV/atom. The value obtained for the total magnetization is 3.72 μB per cell.

abc: 5.339 5.339 5.339
angles: 90.00 90.00 90.00
Space group Pm-3m (No. 221)
One atom of each set of equivalent atoms:
V: 0.000 0.000 0.000 [1 per cell]
Ga: 0.500 0.500 0.500 [1 per cell]
Hg: 0.000 0.000 0.500 [3 per cell]


(3)
Co2C2Br | PBE | relaxed

Properties
The value obtained for the total magnetization is 0.00 μB per cell.

abc: 3.098 3.098 12.224
angles: 90.00 90.00 90.00
Space group I4/mmm (No. 139)
One atom of each set of equivalent atoms:
Co: 0.000 0.000 0.158 [4 per cell]
C: 0.000 0.500 0.250 [4 per cell]
Br: 0.000 0.000 0.500 [2 per cell]


(4)
ZnCoAg | PBE | relaxed

Properties
The value obtained for the formation energy from the elements is 0.15 eV/atom. The value obtained for the total magnetization is 5.52 μB per cell.

abc: 4.032 11.255 3.815
angles: 90.00 90.00 90.00
Space group Cmcm (No. 63)
One atom of each set of equivalent atoms:
Zn: 0.000 0.080 0.250 [4 per cell]
Co: 0.000 0.441 0.250 [4 per cell]
Ag: 0.000 0.256 0.750 [4 per cell]


(5)
Sr2NdCd6 | PBE | relaxed

Properties
The value obtained for the formation energy from the elements is -0.32 eV/atom. The value obtained for the total magnetization is 0.00 μB per cell.

abc: 8.8990 8.8990 3.6828
angles: 90.00 90.00 120.00
Space group P6/mmm (No. 191)
One atom of each set of equivalent atoms:
Sr: 0.3333 0.6667 0.0000 [2 per cell]
Nd: 0.0000 0.0000 0.0000 [1 per cell]
Cd: 0.0000 0.3308 0.5000 [6 per cell]


(6)
HfFe4Bi | PBE | relaxed

Properties
The value obtained for the formation energy from the elements is 0.02 eV/atom. The value obtained for the total magnetization is 32.24 μB per cell.

abc: 7.104 7.104 7.104
angles: 90.00 90.00 90.00
Space group F-43m (No. 216)
One atom of each set of equivalent atoms:
Hf: 0.000 0.000 0.000 [4 per cell]
Fe: 0.126 0.126 0.626 [16 per cell]
Bi: 0.250 0.250 0.250 [4 per cell]


Summary of energy in hartree per atom
-0.2008; -0.0744; -0.2211; -0.1322; -0.0673; -0.2915
(order as listed above)